Entry 1:
Cs4Ac3NdS8 | PBE-GGA | relaxed

Cell lengths 8.8649, 9.5974, 8.8648 Å; angles 117.52, 120.00, 90.00 degrees
Closest atoms and distances in Å follow each position.
Fractional coordinates of all 16 atoms:
S 0.7399 0.6893 0.9646  1 Nd 2.92, 2 Ac 3.02
S 0.2248 0.6893 0.9646  1 Nd 2.92, 2 Ac 3.02
S 0.2248 0.6893 0.4495  1 Nd 2.92, 2 Ac 3.02
S 0.2689 0.3067 0.5378  3 Ac 3.00
S 0.2601 0.3107 0.0354  1 Nd 2.92, 2 Ac 3.02
S 0.7752 0.3107 0.5505  1 Nd 2.92, 2 Ac 3.02
S 0.7752 0.3107 0.0354  1 Nd 2.92, 2 Ac 3.02
S 0.7311 0.6933 0.4622  3 Ac 3.00
Ac 0.5000 0.5000 0.5000  6 S 3.00-3.02
Ac 0.0000 0.5000 0.5000  6 S 3.00-3.02
Ac 0.5000 0.5000 0.0000  6 S 3.00-3.02
Cs 0.0000 0.0000 0.0000  6 S 3.57
Cs 0.5000 0.0000 0.5000  6 S 3.57
Cs 0.5000 0.0000 0.0000  6 S 3.65
Cs 0.0000 0.0000 0.5000  6 S 3.57
Nd 0.0000 0.5000 0.0000  6 S 2.92

## Properties
Energy relative to the elements, uncorrected, eV per atom: -1.85
Magnetization, μB per atom: 0.00
Electronic total energy, hartree per atom: -0.19100

=====

Entry 2:
Cs3Ac2NdS6 | PBE-GGA | relaxed

Cell lengths 7.6436, 7.6436, 8.5040 Å; angles 98.61, 98.61, 120.00 degrees
Closest atoms and distances in Å follow each position.
Fractional coordinates of all 12 atoms:
S 0.9367 0.6145 0.8103  1 Nd 2.90, 2 Ac 3.01
S 0.2590 0.2590 0.8102  1 Nd 2.91, 2 Ac 3.01
S 0.3855 0.0633 0.1897  1 Nd 2.90, 2 Ac 3.01
S 0.6145 0.9367 0.8103  1 Nd 2.90, 2 Ac 3.01
S 0.7410 0.7410 0.1898  1 Nd 2.91, 2 Ac 3.01
S 0.0633 0.3855 0.1897  1 Nd 2.90, 2 Ac 3.01
Cs 0.5000 0.5000 0.5000  6 S 3.55-3.64
Cs 0.1667 0.8333 0.5000  6 S 3.55-3.64
Cs 0.8333 0.1667 0.5000  6 S 3.55-3.64
Ac 0.3333 0.6667 0.0000  6 S 3.01
Ac 0.6667 0.3333 0.0000  6 S 3.01
Nd 0.0000 0.0000 0.0000  6 S 2.90-2.91

## Properties
Energy relative to the elements, uncorrected, eV per atom: -1.85
Magnetization, μB per atom: 0.00
Electronic total energy, hartree per atom: -0.19136

=====

Entry 3:
Cs4AcNd3Se8 | PBE-GGA | relaxed

Cell lengths 8.9301, 9.8746, 8.9314 Å; angles 116.92, 119.99, 90.00 degrees
Closest atoms and distances in Å follow each position.
Fractional coordinates of all 16 atoms:
Nd 0.5000 0.5000 0.0000  6 Se 3.01-3.03
Nd 0.5000 0.5000 0.5000  6 Se 3.01-3.03
Nd 0.0000 0.5000 0.5000  6 Se 3.01-3.03
Se 0.2360 0.6925 0.9569  2 Nd 3.01, 1 Ac 3.11
Se 0.2360 0.6924 0.4720  2 Nd 3.01, 1 Ac 3.11
Se 0.7299 0.6893 0.4599  3 Nd 3.03
Se 0.7640 0.3076 0.5280  2 Nd 3.01, 1 Ac 3.11
Se 0.7209 0.6925 0.9569  2 Nd 3.01, 1 Ac 3.11
Se 0.7640 0.3075 0.0431  2 Nd 3.01, 1 Ac 3.11
Se 0.2791 0.3075 0.0431  2 Nd 3.01, 1 Ac 3.11
Se 0.2701 0.3107 0.5401  3 Nd 3.03
Cs 0.0000 0.0000 0.0000  6 Se 3.67-3.68
Cs 0.5000 0.0000 0.5000  6 Se 3.67-3.68
Cs 0.0000 0.0000 0.5000  6 Se 3.67-3.68
Cs 0.5000 0.0000 0.0000  6 Se 3.60
Ac 0.0000 0.5000 0.0000  6 Se 3.11

## Properties
Energy relative to the elements, uncorrected, eV per atom: -1.74
Magnetization, μB per atom: 0.00
Electronic total energy, hartree per atom: -0.17825

=====

Entry 4:
Cs2AcNdSe4 | PBE-GGA | relaxed

Cell lengths 4.5226, 7.8396, 8.8173 Å; angles 107.17, 90.00, 90.00 degrees
Closest atoms and distances in Å follow each position.
Fractional coordinates of all 8 atoms:
Ac 0.0000 0.0000 0.0000  6 Se 3.12-3.13
Cs 0.0000 0.5000 0.5000  6 Se 3.63-3.64
Cs 0.5000 0.0000 0.5000  6 Se 3.72
Nd 0.5000 0.5000 0.0000  6 Se 3.02-3.04
Se 0.0000 0.2792 0.8089  2 Nd 3.04, 1 Ac 3.13
Se 0.5000 0.2420 0.1950  1 Nd 3.02, 2 Ac 3.12
Se 0.5000 0.7580 0.8050  1 Nd 3.02, 2 Ac 3.12
Se 0.0000 0.7208 0.1911  2 Nd 3.04, 1 Ac 3.13

## Properties
Energy relative to the elements, uncorrected, eV per atom: -1.76
Magnetization, μB per atom: 0.00
Electronic total energy, hartree per atom: -0.17738